Tb6NdEr4 after structural relaxation, computed with PBE-GGA.

Output
- Fermi-level density of states (states/eV per cell) = 15.29
- distance to the lowest polymorph of the same formula (meV/atom) = 295
- calculated volume (Å³/atom) = 34.2
- ΔE_f (meV/atom) = 419
- raw total energy (eV for the cell shown) = -46.19
- spin magnetization (μB/atom) = 0.000

Geometry as extended XYZ:
```
11
Lattice="7.5265 0.0000 0.0000 0.0000 7.5265 0.0000 -3.7633 -3.7633 6.6478" Properties=species:S:1:pos:R:3 pbc="T T T"
Er -2.5468 2.5468 5.5898
Er 1.2164 1.2164 1.0579
Er 6.3101 6.3101 1.0579
Er 2.5468 -2.5468 5.5898
Tb 3.7633 0.0000 0.0000
Nd 3.7633 3.7633 0.0000
Tb -1.7808 -1.7808 4.1642
Tb 5.5440 1.9825 2.4836
Tb 0.0000 3.7633 0.0000
Tb 1.9825 5.5440 2.4836
Tb 1.7808 1.7808 4.1642
```

Tb6NdEr4 after structural relaxation, computed with PBE-GGA.

Output
- Fermi-level density of states (states/eV per cell) = 40.27
- distance to the lowest polymorph of the same formula (meV/atom) = 0
- calculated volume (Å³/atom) = 32.0
- ΔE_f (meV/atom) = 124
- raw total energy (eV for the cell shown) = -98.88
- spin magnetization (μB/atom) = 0.001

Geometry as extended XYZ:
```
22
Lattice="5.7162 0.0000 0.0000 -2.8581 4.8084 0.0000 0.0000 0.0000 25.6235" Properties=species:S:1:pos:R:3 pbc="T T T"
Er 0.0000 1.4834 1.0876
Tb 2.8581 0.0000 12.8117
Nd 0.0000 1.8814 19.2176
Er 2.8581 0.3449 15.9272
Tb 0.0000 1.2971 8.1876
Tb 0.0000 1.8822 15.4062
Er 2.8581 3.3250 24.5359
Er 0.0000 4.4635 3.1155
Tb 0.0000 4.5146 6.4059
Tb 2.8581 0.0000 0.0000
Nd 2.8581 2.9270 6.4059
Tb 0.0000 1.8822 23.0290
Er 0.0000 4.4635 9.6963
Er 2.8581 0.3449 22.5080
Tb 2.8581 0.2938 19.2176
Er 2.8581 3.3250 13.8993
Tb 0.0000 1.2971 4.6241
Tb 2.8581 3.5113 20.9994
Tb 2.8581 2.9262 2.5945
Er 0.0000 1.4834 11.7242
Tb 2.8581 3.5113 17.4359
Tb 2.8581 2.9262 10.2173
```

TbNd8Er4 after structural relaxation, computed with PBE-GGA.

Output
- Fermi-level density of states (states/eV per cell) = 12.94
- calculated volume (Å³/atom) = 34.0
- ΔE_f (meV/atom) = 191
- raw total energy (eV for the cell shown) = -58.54
- spin magnetization (μB/atom) = 0.000

Geometry as extended XYZ:
```
13
Lattice="-6.9622 -1.7240 1.2380 4.0710 -4.1920 -4.3395 5.9453 -2.7392 8.2234" Properties=species:S:1:pos:R:3 pbc="T T T"
Tb 5.0081 -3.4656 1.9420
Nd 1.6987 -3.3745 4.8533
Nd 3.7749 -5.9605 3.1952
Nd 2.4463 -1.9103 1.3636
Er -1.4456 -2.9580 -1.5507
Nd 1.3554 -5.2806 0.2686
Er 2.0355 -2.0960 -2.1697
Er -3.4811 -0.8620 0.6190
Nd -0.7208 -2.6946 1.9268
Nd -1.6112 -4.4598 6.1238
Nd 0.6079 -6.7448 3.7584
Er 0.0000 0.0000 0.0000
Nd 4.6654 -4.1954 -1.0019
```

TbNd2Er3 after structural relaxation, computed with PBE-GGA.

Output
- Fermi-level density of states (states/eV per cell) = 19.81
- distance to the lowest polymorph of the same formula (meV/atom) = 25
- calculated volume (Å³/atom) = 32.6
- ΔE_f (meV/atom) = 99
- raw total energy (eV for the cell shown) = -54.52
- spin magnetization (μB/atom) = 0.001

Geometry as extended XYZ:
```
12
Lattice="-5.0594 -0.1681 -2.2867 0.8187 -7.0407 5.4527 -1.8322 9.3084 3.3696" Properties=species:S:1:pos:R:3 pbc="T T T"
Er -1.9606 -2.2992 4.5069
Nd -4.1408 7.7643 1.8444
Tb -0.7160 -0.6039 1.6285
Tb -5.3570 2.7036 4.9070
Er -4.1123 4.3988 2.0286
Er -0.8972 2.9788 1.7662
Nd -1.9321 -5.6646 4.6912
Er -5.1757 -0.8792 4.7694
Er -4.0161 0.9090 2.0723
Nd -3.6978 -2.7544 1.6374
Er -2.0569 1.1906 4.4633
Nd -2.3751 4.8540 4.8982
```

Tb9Nd2Er after structural relaxation, computed with PBE-GGA.

Output
- Fermi-level density of states (states/eV per cell) = 18.69
- distance to the lowest polymorph of the same formula (meV/atom) = 0
- calculated volume (Å³/atom) = 32.3
- ΔE_f (meV/atom) = 20
- raw total energy (eV for the cell shown) = -55.53
- spin magnetization (μB/atom) = 0.000

Geometry as extended XYZ:
```
12
Lattice="5.0568 0.0000 0.0000 0.0000 5.0568 0.0000 0.0000 0.0000 15.1683" Properties=species:S:1:pos:R:3 pbc="T T T"
Er 0.0000 0.0000 0.0000
Tb 2.5284 0.0000 7.5841
Tb 2.5284 2.5284 10.1341
Tb 2.5284 2.5284 0.0000
Tb 0.0000 2.5284 7.5841
Tb 0.0000 2.5284 12.6756
Tb 2.5284 2.5284 5.0342
Tb 2.5284 0.0000 2.4926
Tb 0.0000 2.5284 2.4926
Nd 0.0000 0.0000 10.1274
Nd 0.0000 0.0000 5.0408
Tb 2.5284 0.0000 12.6756
```

Tb2NdEr after structural relaxation, computed with PBE-GGA.

Output
- Fermi-level density of states (states/eV per cell) = 6.28
- distance to the lowest polymorph of the same formula (meV/atom) = 0
- calculated volume (Å³/atom) = 32.5
- ΔE_f (meV/atom) = 7
- raw total energy (eV for the cell shown) = -18.56
- spin magnetization (μB/atom) = 0.000

Geometry as extended XYZ:
```
4
Lattice="-0.5372 -3.2235 -1.5144 -0.5690 -2.8907 2.0719 -11.7403 -0.0071 -0.1037" Properties=species:S:1:pos:R:3 pbc="T T T"
Tb -3.2790 -1.5183 0.1117
Tb -8.8365 -0.5257 -0.0298
Nd -0.7421 -4.0753 0.3715
Er -6.4121 -3.0627 0.2272
```

Tb3Nd5Er after structural relaxation, computed with PBE-GGA.

Output
- Fermi-level density of states (states/eV per cell) = 23.91
- distance to the lowest polymorph of the same formula (meV/atom) = 0
- calculated volume (Å³/atom) = 34.9
- ΔE_f (meV/atom) = 269
- raw total energy (eV for the cell shown) = -79.75
- spin magnetization (μB/atom) = 0.000

Geometry as extended XYZ:
```
18
Lattice="-1.3849 3.2505 -5.2232 6.8763 -8.0289 -3.0131 -11.5017 -1.4439 2.1510" Properties=species:S:1:pos:R:3 pbc="T T T"
Nd -3.6935 1.5592 -2.5478
Tb -5.7508 -0.7220 1.0755
Tb 2.3856 -5.3067 -1.8084
Tb -1.8713 -2.0096 -2.4345
Nd -9.1931 0.2474 -0.5245
Tb -4.1389 -4.2128 -3.6508
Er -9.8724 1.8419 -3.0867
Nd -2.3975 -2.5778 -6.1220
Tb 0.0000 0.0000 0.0000
Nd -3.6127 -3.6445 0.0367
Nd -5.8611 -1.5700 -1.9466
Tb -8.3958 -0.9157 -4.2769
Nd -0.1492 -4.6524 -4.1387
Er -3.0142 -0.0354 0.0145
Nd -0.5770 0.2476 -4.7826
Nd -7.6584 -4.4499 -3.1985
Nd -5.4332 -6.4699 -1.3028
Nd 1.6481 -1.7725 -2.8869
```

Tb3Nd5Er3 after structural relaxation, computed with PBE-GGA.

Output
- Fermi-level density of states (states/eV per cell) = 19.31
- distance to the lowest polymorph of the same formula (meV/atom) = 27
- calculated volume (Å³/atom) = 34.5
- ΔE_f (meV/atom) = 342
- raw total energy (eV for the cell shown) = -47.65
- spin magnetization (μB/atom) = 0.016

Geometry as extended XYZ:
```
11
Lattice="3.4772 0.0000 0.0000 0.0000 11.2197 0.0000 0.0000 -5.6098 9.7165" Properties=species:S:1:pos:R:3 pbc="T T T"
Er 1.7386 3.6908 6.3927
Tb 0.0000 2.2765 3.9430
Tb 0.0000 -3.3333 5.7735
Nd 1.7386 -4.7003 8.1411
Nd 1.7386 0.9096 1.5754
Er 1.7386 3.8381 0.0000
Tb 0.0000 6.6666 0.0000
Nd 1.7386 9.4005 0.0000
Nd 1.7386 0.0000 6.4777
Nd 1.7386 5.6098 3.2388
Er 1.7386 -1.9190 3.3239
```

Tb4Nd4Er5 after structural relaxation, computed with PBE-GGA.

Output
- Fermi-level density of states (states/eV per cell) = 18.27
- calculated volume (Å³/atom) = 32.4
- ΔE_f (meV/atom) = 20
- raw total energy (eV for the cell shown) = -60.15
- spin magnetization (μB/atom) = 0.000

Geometry as extended XYZ:
```
13
Lattice="4.8881 0.0000 1.2428 2.4440 9.1317 0.6214 0.1939 0.0000 9.4715" Properties=species:S:1:pos:R:3 pbc="T T T"
Nd 5.7653 4.2105 8.0266
Er 4.5499 7.0510 2.5729
Tb 2.8087 5.6461 9.4209
Tb 4.7172 3.4855 1.9148
Tb 1.0527 0.6934 6.0934
Er 1.9313 1.3724 2.6379
Tb 6.4732 8.4383 5.2423
Nd 3.8505 2.7732 5.3234
Nd 3.6754 6.3585 6.0123
Er 2.9761 2.0806 8.7628
Er 5.5946 7.7592 8.6978
Nd 1.7607 4.9212 3.3091
Er 0.0000 0.0000 0.0000
```

Tb5Nd5Er2 after structural relaxation, computed with PBE-GGA.

Output
- Fermi-level density of states (states/eV per cell) = 17.42
- calculated volume (Å³/atom) = 33.0
- ΔE_f (meV/atom) = 18
- raw total energy (eV for the cell shown) = -55.90
- spin magnetization (μB/atom) = 0.000

Geometry as extended XYZ:
```
12
Lattice="4.9769 0.0000 1.0635 2.1955 7.5122 1.9028 0.2959 0.6375 10.7923" Properties=species:S:1:pos:R:3 pbc="T T T"
Er 5.6946 3.5952 9.8817
Nd 3.1119 6.0928 9.7911
Er 1.7736 4.5545 3.8769
Tb 5.0785 5.6398 12.7647
Nd 6.1279 6.5562 7.8541
Tb 4.1629 7.0265 4.8727
Nd 4.3563 2.0569 3.9676
Tb 3.3053 1.1232 8.8859
Tb 3.7341 4.0749 6.8793
Tb 2.3897 2.5099 0.9939
Nd 0.0000 0.0000 0.0000
Nd 1.3403 1.5935 5.9045
```

- What is the formula in the eighth record?
  Tb3Nd5Er3

- Among the records above, which one has the lowest Fermi-level density of states?
  Tb2NdEr